(1)
{"formula": "DyHo2Co2C2N3", "functional": "PBE", "state": "optimized geometry", "spacegroup": "I4/mmm (139)", "cell": [[-1.717, 1.717, 9.680], [1.717, -1.717, 9.680], [1.717, 1.717, -9.680]], "species": ["Dy", "Ho", "Ho", "Co", "Co", "C", "C", "N", "N", "N"], "fractional_positions": [[0.000, 0.000, 0.000], [0.373, 0.373, 0.000], [0.627, 0.627, 0.000], [0.250, 0.750, 0.500], [0.750, 0.250, 0.500], [0.194, 0.194, 0.000], [0.806, 0.806, 0.000], [0.120, 0.120, 0.000], [0.500, 0.500, 0.000], [0.880, 0.880, 0.000]]}

=====

(2)
{"formula": "DyHoCo2C2N2", "functional": "PBE", "state": "optimized geometry", "spacegroup": "P4mm (99)", "cell": [[3.434, 0.000, 0.000], [0.000, 3.434, 0.000], [0.000, 0.000, 7.252]], "species": ["Dy", "Ho", "Co", "Co", "C", "C", "N", "N"], "fractional_positions": [[0.000, 0.000, 0.000], [0.500, 0.500, 0.350], [0.000, 0.500, 0.675], [0.500, 0.000, 0.675], [0.000, 0.000, 0.524], [0.500, 0.500, 0.827], [0.000, 0.000, 0.326], [0.500, 0.500, 0.025]]}

=====

(3)
{"formula": "Dy2CoSi2MoC", "functional": "PBE", "state": "optimized geometry", "spacegroup": "Cm (8)", "cell": [[5.473, -1.936, 0.000], [5.473, 1.936, 0.000], [-4.299, 0.000, 5.488]], "species": ["Dy", "Dy", "Co", "Si", "Si", "Mo", "C"], "fractional_positions": [[0.000, 0.000, 0.000], [0.134, 0.134, 0.594], [0.771, 0.771, 0.388], [0.406, 0.406, 0.599], [0.699, 0.699, 0.979], [0.368, 0.368, 0.209], [0.576, 0.576, 0.304]]}

=====

(4)
{"formula": "Sm2DyCo2C2N3", "functional": "PBE", "state": "optimized geometry", "spacegroup": "I4/mmm (139)", "cell": [[-1.752, 1.752, 9.759], [1.752, -1.752, 9.759], [1.752, 1.752, -9.759]], "species": ["Sm", "Sm", "Dy", "Co", "Co", "C", "C", "N", "N", "N"], "fractional_positions": [[0.128, 0.128, 0.000], [0.872, 0.872, 0.000], [0.500, 0.500, 0.000], [0.250, 0.750, 0.500], [0.750, 0.250, 0.500], [0.306, 0.306, 0.000], [0.694, 0.694, 0.000], [0.000, 0.000, 0.000], [0.379, 0.379, 0.000], [0.621, 0.621, 0.000]]}

=====

(5)
{"formula": "TbDy2Co2C2N3", "functional": "PBE", "state": "optimized geometry", "spacegroup": "I4/mmm (139)", "cell": [[-1.726, 1.726, 9.715], [1.726, -1.726, 9.715], [1.726, 1.726, -9.715]], "species": ["Tb", "Dy", "Dy", "Co", "Co", "C", "C", "N", "N", "N"], "fractional_positions": [[0.000, 0.000, 0.000], [0.373, 0.373, 0.000], [0.627, 0.627, 0.000], [0.250, 0.750, 0.500], [0.750, 0.250, 0.500], [0.194, 0.194, 0.000], [0.806, 0.806, 0.000], [0.121, 0.121, 0.000], [0.500, 0.500, 0.000], [0.879, 0.879, 0.000]]}

=====

(6)
{"formula": "Tb2DyCo2C2N3", "functional": "PBE", "state": "optimized geometry", "spacegroup": "I4/mmm (139)", "cell": [[-1.728, 1.728, 9.710], [1.728, -1.728, 9.710], [1.728, 1.728, -9.710]], "species": ["Tb", "Tb", "Dy", "Co", "Co", "C", "C", "N", "N", "N"], "fractional_positions": [[0.127, 0.127, 0.000], [0.873, 0.873, 0.000], [0.500, 0.500, 0.000], [0.250, 0.750, 0.500], [0.750, 0.250, 0.500], [0.306, 0.306, 0.000], [0.694, 0.694, 0.000], [0.000, 0.000, 0.000], [0.380, 0.380, 0.000], [0.620, 0.620, 0.000]]}

=====

Number 1: calculated volume 114.2 Å³/cell, E -8.080 eV per atom. Number 2: calculated volume 85.5 Å³/cell, E -8.033 eV per atom. Number 3: calculated volume 116.3 Å³/cell, E -7.352 eV per atom. Number 4: calculated volume 119.8 Å³/cell, E -8.026 eV per atom. Number 5: calculated volume 115.7 Å³/cell, E -8.071 eV per atom. Number 6: calculated volume 116.0 Å³/cell, E -8.072 eV per atom.